1.
# HgMo3Os (PBE-GGA, relaxed)
# - total magnetic moment (μB/atom) = 0.000
data_HgMo3Os
_cell_length_a 4.8060
_cell_length_b 4.8060
_cell_length_c 4.8060
_cell_angle_alpha 90.00
_cell_angle_beta 90.00
_cell_angle_gamma 90.00
_space_group_name_H-M_alt 'P m -3 m'
_space_group_IT_number 221
_space_group_name_Hall '-P 4 2 3'
loop_
_atom_site_label
_atom_site_type_symbol
_atom_site_fract_x
_atom_site_fract_y
_atom_site_fract_z
Hg1 Hg 0.0000 0.0000 0.0000
Mo1 Mo 0.0000 0.0000 0.5000
Os1 Os 0.5000 0.5000 0.5000


2.
# HgMo3Os (PBE-GGA, relaxed)
# - total magnetic moment (μB/atom) = 0.000
data_HgMo3Os
_cell_length_a 4.7575
_cell_length_b 4.7575
_cell_length_c 4.7575
_cell_angle_alpha 90.00
_cell_angle_beta 90.00
_cell_angle_gamma 90.00
_space_group_name_H-M_alt 'P m -3 m'
_space_group_IT_number 221
_space_group_name_Hall '-P 4 2 3'
loop_
_atom_site_label
_atom_site_type_symbol
_atom_site_fract_x
_atom_site_fract_y
_atom_site_fract_z
Hg1 Hg 0.0000 0.0000 0.0000
Mo1 Mo 0.0000 0.5000 0.5000
Os1 Os 0.5000 0.5000 0.5000


Which of them is the most stable, and which is the least stable? 2 and 1, in that order.